A plane-wave DFT calculation with meta-GGA SCAN was carried out for Ti2Tc2I at its PBEsol-relaxed geometry.

a = 6.144 Å, b = 6.144 Å, c = 6.144 Å
α = 140.98°, β = 140.98°, γ = 56.36°
Atoms (fractional coordinates):
Ti: 0.250 0.750 0.500
Ti: 0.750 0.250 0.500
Tc: 0.115 0.115 0.000
Tc: 0.885 0.885 0.000
I: 0.500 0.500 0.000

Summary:
* final energy: -27.2845 eV per atom
* theoretical density: 7.62 g/cm3
* size of the total moment: 0.00 μB/cell

=====

A plane-wave DFT calculation with meta-GGA SCAN was carried out for AsIN3 at its PBEsol-relaxed geometry.

a = 3.982 Å, b = 3.982 Å, c = 3.982 Å
α = 90.00°, β = 90.00°, γ = 90.00°
Atoms (fractional coordinates):
As: 0.000 0.000 0.000
I: 0.500 0.500 0.500
N: 0.000 0.500 0.500
N: 0.500 0.000 0.500
N: 0.500 0.500 0.000

Summary:
* final energy: -14.5733 eV per atom
* theoretical density: 6.41 g/cm3
* size of the total moment: 0.00 μB/cell

=====

A plane-wave DFT calculation with meta-GGA SCAN was carried out for Nb2InGeI at its PBEsol-relaxed geometry.

a = 4.902 Å, b = 4.902 Å, c = 5.294 Å
α = 90.00°, β = 90.00°, γ = 90.00°
Atoms (fractional coordinates):
Nb: 0.000 0.500 0.000
Nb: 0.500 0.000 0.000
In: 0.000 0.000 0.500
Ge: 0.500 0.500 0.000
I: 0.500 0.500 0.500

Summary:
* final energy: -29.8787 eV per atom
* theoretical density: 6.53 g/cm3
* size of the total moment: 1.60 μB/cell

=====

A plane-wave DFT calculation with meta-GGA SCAN was carried out for TaTlOs2 at its PBEsol-relaxed geometry.

a = 9.055 Å, b = 9.055 Å, c = 9.055 Å
α = 18.98°, β = 18.98°, γ = 18.98°
Atoms (fractional coordinates):
Ta: 0.000 0.000 0.000
Tl: 0.500 0.500 0.500
Os: 0.258 0.258 0.258
Os: 0.742 0.742 0.742

Summary:
* final energy: -70.2488 eV per atom
* theoretical density: 18.52 g/cm3
* energy of formation: 0.43 eV per atom
* distance to the lowest polymorph of the same formula: 0 meV per atom
* size of the total moment: 0.00 μB/cell

=====

A plane-wave DFT calculation with meta-GGA SCAN was carried out for Ru2W at its PBEsol-relaxed geometry.

a = 4.746 Å, b = 4.746 Å, c = 4.349 Å
α = 90.00°, β = 90.00°, γ = 59.77°
Atoms (fractional coordinates):
Ru: 0.001 0.337 0.250
Ru: 0.337 0.001 0.750
Ru: 0.663 0.999 0.250
Ru: 0.999 0.663 0.750
W: 0.323 0.677 0.250
W: 0.677 0.323 0.750

Summary:
* final energy: -46.3974 eV per atom
* theoretical density: 15.15 g/cm3
* energy of formation: 0.05 eV per atom
* size of the total moment: 0.00 μB/cell

=====

A plane-wave DFT calculation with meta-GGA SCAN was carried out for TaWAu2 at its PBEsol-relaxed geometry.

a = 2.788 Å, b = 2.788 Å, c = 8.720 Å
α = 90.00°, β = 90.00°, γ = 100.50°
Atoms (fractional coordinates):
Ta: 0.000 0.000 0.000
W: 0.500 0.500 0.752
Au: 0.000 0.000 0.509
Au: 0.500 0.500 0.246

Summary:
* final energy: -68.6189 eV per atom
* theoretical density: 18.90 g/cm3
* energy of formation: 0.03 eV per atom
* distance to the lowest polymorph of the same formula: 0 meV per atom
* size of the total moment: 0.00 μB/cell

=====

A plane-wave DFT calculation with meta-GGA SCAN was carried out for Gd2MgRu at its PBEsol-relaxed geometry.

a = 4.984 Å, b = 4.984 Å, c = 4.984 Å
α = 60.00°, β = 60.00°, γ = 60.00°
Atoms (fractional coordinates):
Gd: 0.250 0.250 0.250
Gd: 0.750 0.750 0.750
Mg: 0.000 0.000 0.000
Ru: 0.500 0.500 0.500

Summary:
* final energy: -39.5163 eV per atom
* theoretical density: 8.34 g/cm3
* energy of formation: -0.16 eV per atom
* size of the total moment: 14.61 μB/cell

=====

A plane-wave DFT calculation with meta-GGA SCAN was carried out for Ba6Sr2CoCu7O24 at its PBEsol-relaxed geometry.

a = 7.819 Å, b = 7.818 Å, c = 7.818 Å
α = 90.11°, β = 90.00°, γ = 90.00°
Atoms (fractional coordinates):
Ba: 0.249 0.000 0.000
Ba: 0.249 0.001 0.498
Ba: 0.249 0.498 0.001
Ba: 0.751 0.000 0.000
Ba: 0.751 0.001 0.498
Ba: 0.751 0.498 0.001
Sr: 0.247 0.497 0.497
Sr: 0.753 0.497 0.497
Co: 0.500 0.745 0.745
Cu: 0.000 0.250 0.250
Cu: 0.000 0.250 0.749
Cu: 0.000 0.749 0.250
Cu: 0.000 0.749 0.749
Cu: 0.500 0.248 0.749
Cu: 0.500 0.250 0.250
Cu: 0.500 0.749 0.248
O: 0.000 0.251 0.999
O: 0.000 0.261 0.499
O: 0.000 0.499 0.261
O: 0.000 0.501 0.737
O: 0.000 0.737 0.501
O: 0.000 0.747 0.998
O: 0.000 0.998 0.747
O: 0.000 0.999 0.251
O: 0.250 0.257 0.257
O: 0.251 0.257 0.741
O: 0.251 0.741 0.257
O: 0.260 0.744 0.744
O: 0.500 0.250 0.998
O: 0.500 0.261 0.501
O: 0.500 0.501 0.261
O: 0.500 0.508 0.743
O: 0.500 0.743 0.508
O: 0.500 0.747 0.988
O: 0.500 0.988 0.747
O: 0.500 0.998 0.250
O: 0.740 0.744 0.744
O: 0.749 0.257 0.741
O: 0.749 0.741 0.257
O: 0.750 0.257 0.257

Summary:
* final energy: -15.4143 eV per atom
* theoretical density: 6.56 g/cm3
* size of the total moment: 5.60 μB/cell